Na2Sn3Pt2 PBE-GGA relaxed; E_form = -0.447 eV/atom; M_tot = 0.000 μB per atom; final energy = -4.26 eV/atom; V = 162 Å³ per cell; Fermi-level density of states = 2.0 states/eV/cell
1.0
-1.934 -1.108 -3.769
-1.399 -3.720 4.355
-3.789 6.628 -0.004
Na Sn Pt
2 3 2
Direct
0.838 0.675 0.195
0.162 0.325 0.805
0.500 0.000 0.000
0.628 0.257 0.461
0.372 0.743 0.539
0.883 0.765 0.779
0.117 0.235 0.221